FeSeIO2 | PBE+U | optimized geometry

Unit cell a=3.917 b=3.917 c=6.965 alpha=90.00 beta=90.00 gamma=90.00
Last column: magnetic moment on the atom in μB.
Element x y z (fractional)
Fe 0.500 0.500 0.500  3.71
O 0.500 0.000 0.000  0.01
Se 0.000 0.000 0.000  0.00
I 0.000 0.000 0.500  0.05
O 0.000 0.500 0.000  0.01

Computed properties:
E_tot ... -3.917 eV/atom
Theoretical density ... 4.56 g/cm3
Space group ... P4/mmm